Record 1
A plane-wave DFT calculation with PBE-GGA was carried out for a relaxed TmZnIn crystal.

Lattice parameters (Å, degrees): 6.569 12.290 14.850 90.00 90.00 90.00
Space group Fddd (No. 70, origin choice 2)
One atom of each set of equivalent atoms:
Tm1 0.125 0.125 0.319 [16 per cell]
Zn1 0.000 0.000 0.500 [16 per cell]
In1 0.100 0.375 0.375 [16 per cell]

Values from the calculation:
ΔH_f (0 K) (eV/atom): -0.0389
Total magnetization (μB/cell): 0.000



Record 2
A plane-wave DFT calculation with PBE-GGA was carried out for a relaxed TmZnIn crystal.

Lattice parameters (Å, degrees): 4.651 7.066 8.130 90.00 90.00 90.00
Space group Imm2 (No. 44)
One atom of each set of equivalent atoms:
Tm1 0.000 0.000 0.000 [2 per cell]
Tm2 0.000 0.500 0.008 [2 per cell]
Zn1 0.000 0.295 0.336 [4 per cell]
In1 0.000 0.268 0.672 [4 per cell]

Values from the calculation:
ΔH_f (0 K) (eV/atom): -0.3952
Total magnetization (μB/cell): 0.000



Record 3
A plane-wave DFT calculation with PBE-GGA was carried out for a relaxed Tm6Zn2In crystal.

Lattice parameters (Å, degrees): 4.930 4.930 21.320 90.00 90.00 90.00
Space group I4/mmm (No. 139)
One atom of each set of equivalent atoms:
Tm1 0.000 0.500 0.090 [8 per cell]
Tm2 0.000 0.500 0.250 [4 per cell]
Zn1 0.000 0.000 0.168 [4 per cell]
In1 0.000 0.000 0.500 [2 per cell]

Values from the calculation:
ΔH_f (0 K) (eV/atom): -0.0115
Total magnetization (μB/cell): 0.000



Record 4
A plane-wave DFT calculation with PBE-GGA was carried out for a relaxed Tm3ZnIn crystal.

Lattice parameters (Å, degrees): 5.035 20.108 5.033 90.00 90.00 90.00
Space group Cmcm (No. 63)
One atom of each set of equivalent atoms:
Tm1 0.000 0.062 0.250 [4 per cell]
Tm2 0.000 0.250 0.250 [4 per cell]
Tm3 0.000 0.438 0.250 [4 per cell]
Zn1 0.000 0.156 0.750 [4 per cell]
In1 0.000 0.342 0.750 [4 per cell]

Values from the calculation:
ΔH_f (0 K) (eV/atom): -0.2979
Total magnetization (μB/cell): 0.000



Record 5
A plane-wave DFT calculation with PBE-GGA was carried out for a relaxed Tm2ZnIn5 crystal.

Lattice parameters (Å, degrees): 6.409 12.813 4.555 90.00 90.00 90.00
Space group Pbam (No. 55)
One atom of each set of equivalent atoms:
Tm1 0.249 0.125 0.000 [4 per cell]
Zn1 0.000 0.500 0.500 [2 per cell]
In1 0.000 0.000 0.500 [2 per cell]
In2 0.000 0.255 0.500 [4 per cell]
In3 0.242 0.380 0.000 [4 per cell]

Values from the calculation:
ΔH_f (0 K) (eV/atom): -0.3414
Total magnetization (μB/cell): 0.000



Record 6
A plane-wave DFT calculation with PBE-GGA was carried out for a relaxed Tm3Zn2In3 crystal.

Lattice parameters (Å, degrees): 4.530 10.891 15.224 90.00 90.00 90.00
Space group Cmcm (No. 63)
One atom of each set of equivalent atoms:
Tm1 0.000 0.079 0.113 [8 per cell]
Tm2 0.000 0.348 0.250 [4 per cell]
Zn1 0.000 0.210 0.611 [8 per cell]
In1 0.000 0.366 0.750 [4 per cell]
In2 0.000 0.376 0.039 [8 per cell]

Values from the calculation:
ΔH_f (0 K) (eV/atom): -0.3770
Total magnetization (μB/cell): 0.010



Record 7
A plane-wave DFT calculation with PBE-GGA was carried out for a relaxed Tm2Zn16In crystal.

Lattice parameters (Å, degrees): 9.0567 9.0567 13.1571 90.00 90.00 120.00
Space group R3m (No. 160, hexagonal axes)
One atom of each set of equivalent atoms:
Tm1 0.0000 0.0000 0.0000 [3 per cell]
Tm2 0.0000 0.0000 0.3220 [3 per cell]
Zn1 0.0000 0.0000 0.7701 [3 per cell]
Zn2 0.0190 0.5095 0.8170 [9 per cell]
Zn3 0.0267 0.3593 0.3305 [18 per cell]
Zn4 0.1720 0.3439 0.8422 [9 per cell]
Zn5 0.1726 0.3452 0.4973 [9 per cell]
In1 0.0000 0.0000 0.5639 [3 per cell]

Values from the calculation:
ΔH_f (0 K) (eV/atom): -0.1915
Total magnetization (μB/cell): 0.000



Record 8
A plane-wave DFT calculation with PBE-GGA was carried out for a relaxed TmZn2In crystal.

Lattice parameters (Å, degrees): 4.633 5.735 6.655 90.00 90.00 90.00
Space group Amm2 (No. 38)
One atom of each set of equivalent atoms:
Tm1 0.000 0.000 0.000 [2 per cell]
Zn1 0.000 0.000 0.550 [2 per cell]
Zn2 0.500 0.000 0.731 [2 per cell]
In1 0.500 0.000 0.309 [2 per cell]

Values from the calculation:
ΔH_f (0 K) (eV/atom): -0.0606
Total magnetization (μB/cell): 0.000



Record 9
A plane-wave DFT calculation with PBE-GGA was carried out for a relaxed Tm3Zn2In crystal.

Lattice parameters (Å, degrees): 3.525 3.525 11.119 90.00 90.00 90.00
Space group P4/mmm (No. 123)
One atom of each set of equivalent atoms:
Tm1 0.000 0.000 0.000 [1 per cell]
Tm2 0.000 0.000 0.313 [2 per cell]
Zn1 0.500 0.500 0.154 [2 per cell]
In1 0.500 0.500 0.500 [1 per cell]

Values from the calculation:
ΔH_f (0 K) (eV/atom): -0.3858
Total magnetization (μB/cell): 0.000



Record 10
A plane-wave DFT calculation with PBE-GGA was carried out for a relaxed Tm2ZnIn3 crystal.

Lattice parameters (Å, degrees): 3.522 4.780 8.392 90.00 90.00 90.00
Space group Pmm2 (No. 25)
One atom of each set of equivalent atoms:
Tm1 0.000 0.000 0.000 [1 per cell]
Tm2 0.000 0.500 0.485 [1 per cell]
Zn1 0.500 0.000 0.321 [1 per cell]
In1 0.500 0.000 0.642 [1 per cell]
In2 0.500 0.500 0.171 [1 per cell]
In3 0.500 0.500 0.828 [1 per cell]

Values from the calculation:
ΔH_f (0 K) (eV/atom): -0.3614
Total magnetization (μB/cell): 0.000



Record 11
A plane-wave DFT calculation with PBE-GGA was carried out for a relaxed Tm4ZnIn3 crystal.

Lattice parameters (Å, degrees): 3.703 4.672 11.824 90.00 90.00 90.00
Space group Pmm2 (No. 25)
One atom of each set of equivalent atoms:
Tm1 0.000 0.000 0.000 [1 per cell]
Tm2 0.000 0.500 0.303 [1 per cell]
Tm3 0.500 0.000 0.481 [1 per cell]
Tm4 0.500 0.500 0.812 [1 per cell]
Zn1 0.500 0.000 0.228 [1 per cell]
In1 0.000 0.000 0.729 [1 per cell]
In2 0.000 0.500 0.571 [1 per cell]
In3 0.500 0.500 0.080 [1 per cell]

Values from the calculation:
ΔH_f (0 K) (eV/atom): -0.3662
Total magnetization (μB/cell): 0.235



Record 12
A plane-wave DFT calculation with PBE-GGA was carried out for a relaxed Tm7ZrIn4 crystal.

Lattice parameters (Å, degrees): 14.576 5.618 9.513 90.00 121.21 90.00
Space group C2/m (No. 12)
One atom of each set of equivalent atoms:
Tm1 0.000 0.000 0.000 [2 per cell]
Tm2 0.072 0.500 0.408 [4 per cell]
Tm3 0.199 0.500 0.879 [4 per cell]
Tm4 0.248 0.500 0.287 [4 per cell]
Zr1 0.000 0.500 0.000 [2 per cell]
In1 0.047 0.000 0.704 [4 per cell]
In2 0.181 0.000 0.344 [4 per cell]

Values from the calculation:
ΔH_f (0 K) (eV/atom): -0.0470
Total magnetization (μB/cell): 0.000



Record 13
A plane-wave DFT calculation with PBE-GGA was carried out for a relaxed Tm5ZrIn3 crystal.

Lattice parameters (Å, degrees): 9.1404 9.1404 6.5405 90.00 90.00 120.00
Space group P6_3/mcm (No. 193)
One atom of each set of equivalent atoms:
Tm1 0.0000 0.3181 0.2500 [6 per cell]
Tm2 0.3333 0.6667 0.0000 [4 per cell]
Zr1 0.0000 0.0000 0.0000 [2 per cell]
In1 0.0000 0.3435 0.7500 [6 per cell]

Values from the calculation:
ΔH_f (0 K) (eV/atom): -0.3051
Total magnetization (μB/cell): 2.800



Record 14
A plane-wave DFT calculation with PBE-GGA was carried out for a relaxed Tm3Zr2In3 crystal.

Lattice parameters (Å, degrees): 4.330 4.678 19.670 90.00 90.00 90.00
Space group Immm (No. 71)
One atom of each set of equivalent atoms:
Tm1 0.000 0.000 0.000 [2 per cell]
Tm2 0.000 0.500 0.126 [4 per cell]
Zr1 0.000 0.000 0.246 [4 per cell]
In1 0.000 0.000 0.500 [2 per cell]
In2 0.000 0.500 0.367 [4 per cell]

Values from the calculation:
ΔH_f (0 K) (eV/atom): -0.3247
Total magnetization (μB/cell): 0.000



Record 15
A plane-wave DFT calculation with PBE-GGA was carried out for a relaxed TmZr2In crystal.

Lattice parameters (Å, degrees): 3.261 3.261 9.131 90.00 90.00 90.00
Space group P4/mmm (No. 123)
One atom of each set of equivalent atoms:
Tm1 0.000 0.000 0.000 [1 per cell]
Zr1 0.500 0.500 0.265 [2 per cell]
In1 0.000 0.000 0.500 [1 per cell]

Values from the calculation:
ΔH_f (0 K) (eV/atom): -0.0924
Total magnetization (μB/cell): 0.000



Record 16
A plane-wave DFT calculation with PBE-GGA was carried out for a relaxed Tm12ZrIn3 crystal.

Lattice parameters (Å, degrees): 4.776 4.776 19.315 90.00 90.00 90.00
Space group P4/mmm (No. 123)
One atom of each set of equivalent atoms:
Tm1 0.000 0.000 0.000 [1 per cell]
Tm2 0.000 0.000 0.248 [2 per cell]
Tm3 0.000 0.000 0.500 [1 per cell]
Tm4 0.000 0.500 0.124 [4 per cell]
Tm5 0.000 0.500 0.376 [4 per cell]
Zr1 0.500 0.500 0.500 [1 per cell]
In1 0.500 0.500 0.000 [1 per cell]
In2 0.500 0.500 0.247 [2 per cell]

Values from the calculation:
ΔH_f (0 K) (eV/atom): -0.1853
Total magnetization (μB/cell): 0.001



Record 17
A plane-wave DFT calculation with PBE-GGA was carried out for a relaxed TmZr3In4 crystal.

Lattice parameters (Å, degrees): 3.829 3.829 12.658 90.00 90.00 90.00
Space group P4/mmm (No. 123)
One atom of each set of equivalent atoms:
Tm1 0.000 0.000 0.000 [1 per cell]
Zr1 0.000 0.000 0.260 [2 per cell]
Zr2 0.000 0.000 0.500 [1 per cell]
In1 0.500 0.500 0.136 [2 per cell]
In2 0.500 0.500 0.379 [2 per cell]

Values from the calculation:
ΔH_f (0 K) (eV/atom): -0.2560
Total magnetization (μB/cell): 0.000



Record 18
A plane-wave DFT calculation with PBE-GGA was carried out for a relaxed Tm3Zr2In2 crystal.

Lattice parameters (Å, degrees): 4.890 22.583 3.257 90.00 90.00 90.00
Space group Cmmm (No. 65)
One atom of each set of equivalent atoms:
Tm1 0.000 0.000 0.000 [2 per cell]
Tm2 0.000 0.149 0.000 [4 per cell]
Zr1 0.000 0.276 0.500 [4 per cell]
In1 0.000 0.423 0.500 [4 per cell]

Values from the calculation:
ΔH_f (0 K) (eV/atom): -0.1852
Total magnetization (μB/cell): 0.353



Record 19
A plane-wave DFT calculation with PBE-GGA was carried out for a relaxed Tm4ZrIn3 crystal.

Lattice parameters (Å, degrees): 3.501 3.501 16.873 90.00 90.00 90.00
Space group P4/mmm (No. 123)
One atom of each set of equivalent atoms:
Tm1 0.000 0.000 0.123 [2 per cell]
Tm2 0.000 0.000 0.371 [2 per cell]
Zr1 0.500 0.500 0.500 [1 per cell]
In1 0.500 0.500 0.000 [1 per cell]
In2 0.500 0.500 0.246 [2 per cell]

Values from the calculation:
ΔH_f (0 K) (eV/atom): -0.3248
Total magnetization (μB/cell): 0.000



Record 20
A plane-wave DFT calculation with PBE-GGA was carried out for a relaxed TmZrIn crystal.

Lattice parameters (Å, degrees): 4.317 14.826 4.634 90.00 90.00 90.00
Space group Cmcm (No. 63)
One atom of each set of equivalent atoms:
Tm1 0.000 0.083 0.250 [4 per cell]
Zr1 0.000 0.244 0.750 [4 per cell]
In1 0.000 0.404 0.250 [4 per cell]

Values from the calculation:
ΔH_f (0 K) (eV/atom): -0.2962
Total magnetization (μB/cell): 0.000



Record 21
A plane-wave DFT calculation with PBE-GGA was carried out for a relaxed Tm3ZrIn crystal.

Lattice parameters (Å, degrees): 17.059 3.313 10.473 90.00 106.91 90.00
Space group C2/m (No. 12)
One atom of each set of equivalent atoms:
Tm1 0.004 0.000 0.231 [4 per cell]
Tm2 0.190 0.500 0.361 [4 per cell]
Tm3 0.196 0.000 0.863 [4 per cell]
Zr1 0.095 0.500 0.038 [4 per cell]
In1 0.100 0.000 0.551 [4 per cell]

Values from the calculation:
ΔH_f (0 K) (eV/atom): 0.0353
Total magnetization (μB/cell): 0.003



Record 22
A plane-wave DFT calculation with PBE-GGA was carried out for a relaxed TmZr2In crystal.

Lattice parameters (Å, degrees): 4.119 4.594 10.944 90.00 100.91 90.00
Space group P2_1/m (No. 11)
One atom of each set of equivalent atoms:
Tm1 0.193 0.250 0.385 [2 per cell]
Zr1 0.054 0.750 0.107 [2 per cell]
Zr2 0.446 0.750 0.893 [2 per cell]
In1 0.338 0.250 0.678 [2 per cell]

Values from the calculation:
ΔH_f (0 K) (eV/atom): -0.2037
Total magnetization (μB/cell): 0.000